# 1
A geometry-optimized ScV2Pb2 structure, computed with PBE.

Values from the calculation:
The calculated total energy is -6.07 eV per atom. The calculation puts the offset from the most stable computed form at 0 meV/atom. The density of states at the Fermi level is 11.10 states/eV per cell.

abc: 7.8965 7.8965 3.3151
angles: 90.00 90.00 90.00
Space group P4/mbm (No. 127)
One atom of each set of equivalent atoms:
Sc  0.0000  0.0000  0.0000
V  0.0981  0.4019  0.0000
Pb  0.1902  0.6902  0.5000

# 2
A geometry-optimized Y4Zn3In structure, computed with PBE.

Values from the calculation:
The calculated total energy is -4.45 eV per atom. The density of states at the Fermi level is 25.03 states/eV per cell.

abc: 5.1305 5.1305 25.2421
angles: 90.00 90.00 120.00
Space group R-3m (No. 166, hexagonal axes)
One atom of each set of equivalent atoms:
Y  0.0000  0.0000  0.1208
Y  0.0000  0.0000  0.3710
Zn  0.0000  0.0000  0.0000
Zn  0.0000  0.0000  0.2502
In  0.0000  0.0000  0.5000